[1]
MnPCSeN: optimized geometry, PBE-GGA.

Geometry as extended XYZ:
```
15
Lattice="2.928 0.000 0.000 -1.464 2.536 0.000 0.000 0.000 27.696" Properties=species:S:1:pos:R:3 pbc="T T T"
Mn 0.000 0.000 0.000
Mn 0.000 1.691 18.464
Mn 1.464 0.845 9.232
P 0.000 0.000 11.911
P 0.000 1.691 2.678
P 1.464 0.845 21.143
C 0.000 0.000 10.213
C 0.000 1.691 0.981
C 1.464 0.845 19.445
Se 0.000 0.000 7.443
Se 0.000 1.691 25.907
Se 1.464 0.845 16.675
N 0.000 0.000 21.774
N 0.000 1.691 12.542
N 1.464 0.845 3.310
```

Summary:
* relative energy among the computed polymorphs: 23 meV per atom
* M_tot: 3.0 μB/cell
* space-group type: R3m, No. 160
* crystal system: trigonal
* raw formation energy: 0.24 eV per atom

[2]
ThCu2P2: optimized geometry, PBE-GGA.

Geometry as extended XYZ:
```
20
Lattice="9.004 0.000 0.000 0.000 3.884 0.000 0.000 0.000 9.856" Properties=species:S:1:pos:R:3 pbc="T T T"
Th 2.249 0.971 1.825
Th 2.253 2.913 6.753
Th 6.750 0.971 3.102
Th 6.755 2.913 8.030
Cu 0.502 0.971 8.881
Cu 0.649 0.971 4.458
Cu 3.853 2.913 9.386
Cu 3.999 2.913 3.953
Cu 5.004 0.971 5.902
Cu 5.151 0.971 0.470
Cu 8.355 2.913 5.398
Cu 8.501 2.913 0.974
P 0.234 2.913 3.152
P 1.555 2.913 9.586
P 2.947 0.971 4.658
P 4.268 0.971 8.080
P 4.736 2.913 1.775
P 6.057 2.913 5.198
P 7.449 0.971 0.270
P 8.770 0.971 6.703
```

Summary:
* M_tot: 0.0 μB/cell
* energy of formation: -0.791 eV/atom
* space-group type: Pnma, No. 62
* crystal system: orthorhombic

[3]
Pa3Rh5Se12: optimized geometry, PBE-GGA.

Geometry as extended XYZ:
```
80
Lattice="-7.729 7.729 7.729 7.729 -7.729 7.729 7.729 7.729 -7.729" Properties=species:S:1:pos:R:3 pbc="T T T"
Pa 3.865 1.932 0.000
Pa 7.729 3.865 -1.932
Pa 1.932 0.000 3.865
Pa 9.661 0.000 3.865
Pa 0.000 3.865 1.932
Pa 3.865 -1.932 7.729
Pa 3.865 9.661 0.000
Pa 7.729 3.865 5.797
Pa -1.932 7.729 3.865
Pa 5.797 7.729 3.865
Pa 0.000 3.865 9.661
Pa 3.865 5.797 7.729
Rh 0.000 0.000 0.000
Rh 3.865 3.865 -3.865
Rh 3.865 -3.865 3.865
Rh 7.729 0.000 0.000
Rh 11.594 1.932 0.000
Rh 7.729 -3.865 5.797
Rh 5.797 7.729 -3.865
Rh 5.797 0.000 3.865
Rh 3.865 5.797 0.000
Rh 7.729 3.865 1.932
Rh -3.865 3.865 3.865
Rh 0.000 7.729 0.000
Rh 0.000 0.000 7.729
Rh 3.865 3.865 3.865
Rh 0.000 3.865 5.797
Rh 3.865 1.932 7.729
Rh 1.932 7.729 3.865
Rh 1.932 0.000 11.594
Rh 0.000 11.594 1.932
Rh -3.865 5.797 7.729
Se 2.290 -0.376 0.956
Se 9.303 4.821 -4.241
Se 7.353 -0.956 2.290
Se 10.020 0.376 0.956
Se 9.303 -2.908 4.241
Se 11.970 -1.574 2.908
Se 0.956 2.290 -0.376
Se 10.637 3.488 -1.574
Se 4.821 4.241 -1.574
Se 6.773 2.290 0.376
Se -0.376 0.956 2.290
Se 4.241 -1.574 4.821
Se 7.353 6.773 -2.290
Se 4.241 1.574 2.908
Se 4.821 -4.241 9.303
Se 6.773 -2.290 7.353
Se 2.908 4.241 1.574
Se 8.685 5.439 0.376
Se 2.290 7.353 -0.956
Se 4.241 9.303 -2.908
Se 7.353 0.956 5.439
Se 9.303 2.908 3.488
Se 1.574 2.908 4.241
Se 2.290 0.376 6.773
Se 5.439 7.353 0.956
Se 6.155 4.821 3.488
Se -1.574 4.821 4.241
Se 0.376 6.773 2.290
Se 3.488 -1.574 10.637
Se 5.439 0.376 8.685
Se -0.956 2.290 7.353
Se 4.821 3.488 6.155
Se 0.956 10.020 0.376
Se 2.908 11.970 -1.574
Se 3.488 6.155 4.821
Se 0.376 0.956 10.020
Se 3.488 9.303 2.908
Se 8.106 6.773 5.439
Se 0.956 5.439 7.353
Se 2.908 3.488 9.303
Se -2.908 4.241 9.303
Se 6.773 5.439 8.106
Se -4.241 9.303 4.821
Se -1.574 10.637 3.488
Se -2.290 7.353 6.773
Se 0.376 8.685 5.439
Se -1.574 2.908 11.970
Se 5.439 8.106 6.773
```

Summary:
* M_tot: 0.0 μB/cell
* space-group type: Ia-3d, No. 230
* crystal system: cubic
* raw formation energy: -0.70 eV per atom

[4]
TaBi3B: optimized geometry, PBE-GGA.

Geometry as extended XYZ:
```
5
Lattice="4.956 0.000 0.000 0.000 4.956 0.000 0.000 0.000 4.956" Properties=species:S:1:pos:R:3 pbc="T T T"
Ta 0.000 0.000 0.000
Bi 0.000 2.478 2.478
Bi 2.478 0.000 2.478
Bi 2.478 2.478 0.000
B 2.478 2.478 2.478
```

Summary:
* relative energy among the computed polymorphs: 0 meV per atom
* M_tot: 0.0 μB/cell
* energy of formation: 1.298 eV/atom
* space-group type: Pm-3m, No. 221
* crystal system: cubic

[5]
NdYTe3: optimized geometry, PBE-GGA.

Geometry as extended XYZ:
```
10
Lattice="2.159 -7.147 0.000 2.159 7.147 0.000 0.000 0.000 10.839" Properties=species:S:1:pos:R:3 pbc="T T T"
Nd 2.159 3.591 8.129
Nd 2.159 -3.591 2.710
Y 0.000 0.000 0.000
Y 0.000 0.000 5.419
Te 2.159 5.848 2.710
Te 2.159 2.102 0.683
Te 2.159 2.102 4.736
Te 2.159 -2.102 6.102
Te 2.159 -2.102 10.156
Te 2.159 -5.848 8.129
```

Summary:
* relative energy among the computed polymorphs: 20 meV per atom
* M_tot: 0.0 μB/cell
* space-group type: Cmcm, No. 63
* crystal system: orthorhombic
* raw formation energy: -1.42 eV per atom

[6]
CaY2Br: optimized geometry, PBE-GGA.

Geometry as extended XYZ:
```
4
Lattice="3.603 0.000 0.000 0.000 3.603 0.000 0.000 0.000 9.686" Properties=species:S:1:pos:R:3 pbc="T T T"
Ca 0.000 0.000 0.000
Y 0.000 0.000 5.168
Y 1.801 1.801 2.762
Br 1.801 1.801 7.454
```

Summary:
* relative energy among the computed polymorphs: 32 meV per atom
* M_tot: 0.0 μB/cell
* space-group type: P4mm, No. 99
* crystal system: tetragonal
* raw formation energy: -0.52 eV per atom

| no. | final energy (eV/atom) |
| --- | --- |
| 1 | -6.882 |
| 2 | -6.077 |
| 3 | -6.055 |
| 4 | -4.737 |
| 5 | -5.556 |
| 6 | -4.666 |